TbAgSn at its PBEsol-relaxed geometry. Source: Alexandria, functional meta-GGA SCAN. Values from VASP.

Results
total moment	0.00	μB/atom
uncorrected energy	-38.732	eV/atom
ΔH_f (0 K)	-715	meV per atom
space group	P6_3mc

```
&SYSTEM
  ibrav = 0, nat = 6, ntyp = 3
/
ATOMIC_SPECIES
Ag 107.87 Ag.upf
Sn 118.71 Sn.upf
Tb 158.93 Tb.upf
ATOMIC_POSITIONS crystal
Ag 0.667 0.333 0.962
Ag 0.333 0.667 0.462
Sn 0.667 0.333 0.553
Sn 0.333 0.667 0.053
Tb 0.000 0.000 0.274
Tb 0.000 0.000 0.774
CELL_PARAMETERS angstrom
4.664 0.000 0.000
-2.332 4.039 0.000
0.000 0.000 7.286
```